DFT (PBE-GGA) results for InAgP2S6 after structural relaxation.

Properties
- uncorrected energy (eV per atom) = -4.428
- SG = P-31c (163)

The structure in extended XYZ format:
```
20
Lattice="6.238 0.000 0.000 -3.119 5.402 0.000 0.000 0.000 13.524" Properties=species:S:1:pos:R:3 pbc="T T T"
S -0.903 1.864 5.087
S 4.022 3.538 8.437
S 4.172 0.150 8.437
S -1.053 5.252 5.087
S 1.956 3.688 5.087
S 1.163 1.714 8.438
S 2.216 3.538 11.849
S 5.075 1.714 11.849
S 1.053 5.252 1.675
S -1.956 3.688 1.675
S 2.066 0.150 11.849
S 0.903 1.864 1.675
P 0.000 3.601 4.511
P 0.000 3.601 2.251
P 3.119 1.801 11.273
P 3.119 1.801 9.014
Ag 0.000 3.601 10.143
Ag 3.119 1.801 3.381
In 0.000 0.000 3.381
In 3.119 5.402 10.143
```